Density functional theory data (SCAN) for a PBEsol-optimized structure of CrPPtCl2.

Cell: 4.503 4.503 4.802 Å, 90.00 90.00 90.00°
Fractional coordinates of all 5 atoms:
Cr: 0.000 0.000 0.000
P: 0.000 0.000 0.500
Pt: 0.500 0.500 0.000
Cl: 0.000 0.500 0.500
Cl: 0.500 0.000 0.500

ΔE_f (raw) (eV per atom): 0.6912
Raw total energy (Ha/atom): -0.8193
Total moment (μB/f.u.): 2.88

Density functional theory data (SCAN) for a PBEsol-optimized structure of KCa2MgBi.

Cell: 6.051 6.051 5.630 Å, 90.00 90.00 90.00°
Fractional coordinates of all 5 atoms:
K: 0.000 0.000 0.000
Ca: 0.000 0.500 0.500
Ca: 0.500 0.000 0.500
Mg: 0.500 0.500 0.500
Bi: 0.500 0.500 0.000

Raw total energy (Ha/atom): -0.8152
Total moment (μB/f.u.): 0.04
Calculated formation energy (eV per atom): 0.0602

Density functional theory data (SCAN) for a PBEsol-optimized structure of CdIrOs2.

Cell: 4.813 4.813 4.804 Å, 99.28 99.28 33.24°
Fractional coordinates of all 4 atoms:
Cd: 0.000 0.000 0.000
Ir: 0.500 0.500 0.500
Os: 0.239 0.239 0.731
Os: 0.761 0.761 0.269

Raw total energy (Ha/atom): -2.2374
Total moment (μB/f.u.): 0.00
Calculated formation energy (eV per atom): 0.4346